1.
The following is a PBE calculation of a geometry-optimized Ho8Tm3Sc2 structure, from Alexandria.

a b c (Å): 6.5973 9.2552 9.2552
angles (deg): 58.22 63.02 63.02
Closest atoms and distances in Å follow each position.
Fractional positions:
Sc1 0.5171 0.2019 0.2019  7 Ho 3.18-3.45, 3 Tm 3.33-3.52
Sc2 0.4829 0.7981 0.7981  7 Ho 3.18-3.45, 3 Tm 3.33-3.52
Ho1 0.0383 0.5908 0.5908  4 Ho 3.23-3.42, 2 Tm 3.38, 1 Sc 3.45
Ho2 0.5481 0.5615 0.1986  4 Ho 3.27-3.59, 2 Sc 3.28-3.41, 2 Tm 3.37-3.38
Ho3 0.4519 0.8014 0.4385  4 Ho 3.27-3.59, 2 Sc 3.28-3.41, 2 Tm 3.37-3.38
Ho4 0.9860 0.8104 0.8104  1 Tm 3.08, 2 Sc 3.18-3.43, 3 Ho 3.39-3.43
Ho5 0.4519 0.4385 0.8014  4 Ho 3.27-3.59, 2 Sc 3.28-3.41, 2 Tm 3.37-3.38
Ho6 0.0140 0.1896 0.1896  1 Tm 3.08, 2 Sc 3.18-3.43, 3 Ho 3.39-3.43
Ho7 0.5481 0.1986 0.5615  4 Ho 3.27-3.59, 2 Sc 3.28-3.41, 2 Tm 3.37-3.38
Ho8 0.9617 0.4092 0.4092  4 Ho 3.23-3.42, 2 Tm 3.38, 1 Sc 3.45
Tm1 0.5000 0.0000 0.0000  6 Ho 3.08-3.38, 2 Sc 3.33
Tm2 0.0000 0.8296 0.1704  1 Tm 3.07, 4 Ho 3.37-3.38
Tm3 0.0000 0.1704 0.8296  1 Tm 3.07, 4 Ho 3.37-3.38

Values from the calculation:
VASP energy: -4.592 eV per atom
volume: 410.6 Å³ per cell
density of states at the Fermi level: 15.607 states/eV per cell
energy of formation from the pure elements: 231 meV per atom



2.
The following is a PBE calculation of a geometry-optimized Ho12TmSc7 structure, from Alexandria.

a b c (Å): 9.4370 9.4370 9.4370
angles (deg): 109.47 109.47 109.47
Closest atoms and distances in Å follow each position.
Fractional positions:
Sc1 0.5000 0.0000 0.5000  12 Ho 3.75-3.85
Sc2 0.5000 0.5000 0.0000  12 Ho 3.75-3.85
Sc3 0.5000 0.0000 0.0000  6 Ho 2.73
Sc4 0.0000 0.0000 0.5000  6 Ho 2.73
Sc5 0.0000 0.5000 0.0000  6 Ho 2.73
Sc6 0.5000 0.5000 0.5000  6 Ho 2.73
Sc7 0.0000 0.5000 0.5000  12 Ho 3.75-3.85
Ho1 0.7433 0.0000 0.2568  2 Sc 2.73
Ho2 0.0000 0.7432 0.2567  2 Sc 2.73
Ho3 0.2568 0.2567 0.5135  2 Sc 2.73
Ho4 0.2568 0.7433 0.0000  2 Sc 2.73
Ho5 0.7433 0.4865 0.7432  2 Sc 2.73
Ho6 0.7432 0.2567 0.0000  2 Sc 2.73
Ho7 0.5135 0.2568 0.2567  2 Sc 2.73
Ho8 0.4865 0.7432 0.7433  2 Sc 2.73
Ho9 0.2567 0.0000 0.7432  2 Sc 2.73
Ho10 0.7432 0.7433 0.4865  2 Sc 2.73
Ho11 0.2567 0.5135 0.2568  2 Sc 2.73
Ho12 0.0000 0.2568 0.7433  2 Sc 2.73
Tm1 0.0000 0.0000 0.0000  12 Ho 3.96

Values from the calculation:
VASP energy: -4.493 eV per atom
volume: 647.0 Å³ per cell
density of states at the Fermi level: 32.166 states/eV per cell
energy of formation from the pure elements: 694 meV per atom



3.
The following is a PBE calculation of a geometry-optimized Ho2Tm4Sc5 structure, from Alexandria.

a b c (Å): 3.3403 8.2716 13.7239
angles (deg): 123.69 96.99 90.00
Closest atoms and distances in Å follow each position.
Fractional positions:
Ho1 0.5882 0.4807 0.1763  5 Tm 3.25-3.49, 5 Sc 3.30-3.41, 2 Ho 3.34
Ho2 0.4118 0.5193 0.8237  5 Tm 3.25-3.49, 5 Sc 3.30-3.41, 2 Ho 3.34
Tm1 0.7266 0.6282 0.4532  6 Sc 3.24-3.41, 1 Ho 3.25, 4 Tm 3.34-3.46
Tm2 0.0440 0.7493 0.0880  4 Sc 3.22-3.38, 3 Tm 3.34-3.42, 4 Ho 3.42-3.49
Tm3 0.2734 0.3718 0.5468  6 Sc 3.24-3.41, 1 Ho 3.25, 4 Tm 3.34-3.46
Tm4 0.9560 0.2507 0.9120  4 Sc 3.22-3.38, 3 Tm 3.34-3.42, 4 Ho 3.42-3.49
Sc1 0.8708 0.7819 0.7416  4 Tm 3.22-3.39, 4 Sc 3.34-3.37, 2 Ho 3.39
Sc2 0.1292 0.2181 0.2584  4 Tm 3.22-3.39, 4 Sc 3.34-3.37, 2 Ho 3.39
Sc3 0.8124 0.1006 0.6248  4 Tm 3.24-3.41, 4 Sc 3.29-3.34, 2 Ho 3.41
Sc4 0.1876 0.8994 0.3752  4 Tm 3.24-3.41, 4 Sc 3.29-3.34, 2 Ho 3.41
Sc5 0.5000 0.0000 0.0000  2 Ho 3.30, 6 Sc 3.34-3.37, 4 Tm 3.36

Values from the calculation:
VASP energy: -5.198 eV per atom
volume: 312.1 Å³ per cell
density of states at the Fermi level: 19.061 states/eV per cell
energy of formation from the pure elements: 138 meV per atom



> Look up the VASP energy of the third one.

-5.198 eV per atom



> What is the energy of formation from the pure elements in the second record?

694 meV per atom



> Among the records above, which one has the highest VASP energy?

Ho12TmSc7



> Which of these has the lowest density of states at the Fermi level?

Ho8Tm3Sc2